First-principles (PBE) data for a relaxed Na2Sb4Pd5 crystal, as listed in the Alexandria database.

Properties
V: 253 Å³ per cell
crystal system: orthorhombic
density: 7.0 g/cm3
formation energy (no corrections): -0.389 eV/atom
symmetry: No. 69

Lattice parameters (Å, degrees): 5.785 5.974 8.847 80.89 70.92 61.04
Fractional positions:
Na (0.893, 0.000, 0.215)
Na (0.107, 0.000, 0.785)
Sb (0.466, 0.321, 0.747)
Sb (0.534, 0.679, 0.253)
Sb (0.213, 0.321, 0.253)
Sb (0.787, 0.679, 0.747)
Pd (0.500, 0.000, 0.000)
Pd (0.000, 0.500, 0.000)
Pd (0.500, 0.500, 0.000)
Pd (0.250, 0.500, 0.500)
Pd (0.750, 0.500, 0.500)


First-principles (PBE) data for a relaxed NaSbPd crystal, as listed in the Alexandria database.

Properties
V: 269 Å³ per cell
crystal system: orthorhombic
density: 6.2 g/cm3
formation energy (no corrections): -0.473 eV/atom
symmetry: No. 62

Lattice parameters (Å, degrees): 4.650 7.689 7.528 90.00 90.00 90.00
Fractional positions:
Na (0.250, 0.818, 0.491)
Na (0.750, 0.318, 0.009)
Na (0.250, 0.682, 0.991)
Na (0.750, 0.182, 0.509)
Sb (0.750, 0.909, 0.182)
Sb (0.750, 0.591, 0.682)
Sb (0.250, 0.091, 0.818)
Sb (0.250, 0.409, 0.318)
Pd (0.750, 0.588, 0.320)
Pd (0.750, 0.912, 0.820)
Pd (0.250, 0.088, 0.180)
Pd (0.250, 0.412, 0.680)


First-principles (PBE) data for a relaxed Na3Sb2Pd crystal, as listed in the Alexandria database.

Properties
V: 320 Å³ per cell
crystal system: orthorhombic
density: 4.3 g/cm3
formation energy (no corrections): -0.374 eV/atom
symmetry: No. 72

Lattice parameters (Å, degrees): 5.831 6.433 9.573 109.63 107.73 90.00
Fractional positions:
Na (0.564, 0.691, 0.382)
Na (0.436, 0.309, 0.618)
Na (0.182, 0.809, 0.618)
Na (0.818, 0.191, 0.382)
Na (0.500, 0.750, 0.000)
Na (0.500, 0.250, 0.000)
Sb (0.231, 0.121, 0.243)
Sb (0.769, 0.879, 0.757)
Sb (0.988, 0.379, 0.757)
Sb (0.012, 0.621, 0.243)
Pd (0.000, 0.250, 0.000)
Pd (0.000, 0.750, 0.000)


First-principles (PBE) data for a relaxed NaSb2Pd crystal, as listed in the Alexandria database.

Properties
V: 211 Å³ per cell
crystal system: monoclinic
density: 5.9 g/cm3
formation energy (no corrections): -0.292 eV/atom
symmetry: No. 11

Lattice parameters (Å, degrees): 4.539 5.460 8.749 103.65 90.00 90.00
Fractional positions:
Na (0.750, 0.528, 0.813)
Na (0.250, 0.472, 0.187)
Sb (0.750, 0.008, 0.123)
Sb (0.250, 0.992, 0.877)
Sb (0.750, 0.796, 0.418)
Sb (0.250, 0.204, 0.582)
Pd (0.750, 0.313, 0.441)
Pd (0.250, 0.687, 0.559)


First-principles (PBE) data for a relaxed NaSbPd2 crystal, as listed in the Alexandria database.

Properties
V: 78 Å³ per cell
crystal system: tetragonal
density: 7.6 g/cm3
formation energy (no corrections): -0.262 eV/atom
symmetry: No. 123

Lattice parameters (Å, degrees): 3.462 3.462 6.516 90.00 90.00 90.00
Fractional positions:
Sb (0.500, 0.500, 0.000)
Pd (0.000, 0.000, 0.779)
Pd (0.000, 0.000, 0.221)
Na (0.500, 0.500, 0.500)


First-principles (PBE) data for a relaxed NaSb2Pd crystal, as listed in the Alexandria database.

Properties
V: 762 Å³ per cell
crystal system: orthorhombic
density: 6.5 g/cm3
formation energy (no corrections): -0.346 eV/atom
symmetry: No. 62

Lattice parameters (Å, degrees): 5.970 8.031 15.890 90.00 90.00 90.00
Fractional positions:
Na (0.484, 0.250, 0.141)
Na (0.984, 0.750, 0.359)
Na (0.516, 0.750, 0.859)
Na (0.016, 0.250, 0.641)
Na (0.769, 0.250, 0.386)
Na (0.269, 0.750, 0.114)
Na (0.231, 0.750, 0.614)
Na (0.731, 0.250, 0.886)
Sb (0.996, 0.044, 0.216)
Sb (0.496, 0.956, 0.284)
Sb (0.004, 0.544, 0.784)
Sb (0.504, 0.456, 0.716)
Sb (0.004, 0.956, 0.784)
Sb (0.504, 0.044, 0.716)
Sb (0.996, 0.456, 0.216)
Sb (0.496, 0.544, 0.284)
Sb (0.751, 0.543, 0.031)
Sb (0.251, 0.457, 0.469)
Sb (0.249, 0.043, 0.969)
Sb (0.749, 0.957, 0.531)
Sb (0.249, 0.457, 0.969)
Sb (0.749, 0.543, 0.531)
Sb (0.751, 0.957, 0.031)
Sb (0.251, 0.043, 0.469)
Pd (0.262, 0.250, 0.332)
Pd (0.762, 0.750, 0.168)
Pd (0.738, 0.750, 0.668)
Pd (0.238, 0.250, 0.832)
Pd (0.992, 0.250, 0.074)
Pd (0.492, 0.750, 0.426)
Pd (0.008, 0.750, 0.926)
Pd (0.508, 0.250, 0.574)


First-principles (PBE) data for a relaxed NaSb2Pd crystal, as listed in the Alexandria database.

Properties
V: 95 Å³ per cell
crystal system: tetragonal
density: 6.6 g/cm3
formation energy (no corrections): -0.241 eV/atom
symmetry: No. 123

Lattice parameters (Å, degrees): 3.547 3.547 7.510 90.00 90.00 90.00
Fractional positions:
Sb (0.000, 0.000, 0.798)
Sb (0.000, 0.000, 0.202)
Pd (0.500, 0.500, 0.000)
Na (0.500, 0.500, 0.500)


First-principles (PBE) data for a relaxed NaSbPd14 crystal, as listed in the Alexandria database.

Properties
V: 253 Å³ per cell
crystal system: tetragonal
density: 10.7 g/cm3
formation energy (no corrections): -0.112 eV/atom
symmetry: No. 123

Lattice parameters (Å, degrees): 5.662 5.662 7.899 90.00 90.00 89.99
Fractional positions:
Na (0.375, 0.375, 0.500)
Sb (0.875, 0.875, 0.500)
Pd (0.875, 0.875, 0.000)
Pd (0.375, 0.375, 0.000)
Pd (0.875, 0.375, 0.500)
Pd (0.875, 0.375, 0.000)
Pd (0.375, 0.875, 0.500)
Pd (0.375, 0.875, 0.000)
Pd (0.627, 0.123, 0.248)
Pd (0.627, 0.123, 0.752)
Pd (0.123, 0.627, 0.248)
Pd (0.123, 0.627, 0.752)
Pd (0.627, 0.627, 0.248)
Pd (0.627, 0.627, 0.752)
Pd (0.123, 0.123, 0.248)
Pd (0.123, 0.123, 0.752)


- What is the formula in the seventh record?
  NaSb2Pd


- Look up the density of the third one.
  4.3 g/cm3


- What is the formula in the fourth record?
  NaSb2Pd


Copy entry 4 word for word.
First-principles (PBE) data for a relaxed NaSb2Pd crystal, as listed in the Alexandria database.

Properties
V: 211 Å³ per cell
crystal system: monoclinic
density: 5.9 g/cm3
formation energy (no corrections): -0.292 eV/atom
symmetry: No. 11

Lattice parameters (Å, degrees): 4.539 5.460 8.749 103.65 90.00 90.00
Fractional positions:
Na (0.750, 0.528, 0.813)
Na (0.250, 0.472, 0.187)
Sb (0.750, 0.008, 0.123)
Sb (0.250, 0.992, 0.877)
Sb (0.750, 0.796, 0.418)
Sb (0.250, 0.204, 0.582)
Pd (0.750, 0.313, 0.441)
Pd (0.250, 0.687, 0.559)